Record 1
# H3RuBr

A relaxed H3RuBr crystal (GGA-PBE, Alexandria via LeMat-Bulk).

Computed properties:
energy above the most stable polymorph in this dataset	0.933	eV per atom
magnetization	1.81	μB per cell
space-group type	Pm-3m

Structure (extended XYZ):
```
5
Lattice="3.728 0.000 0.000 0.000 3.728 0.000 0.000 0.000 3.728" Properties=species:S:1:pos:R:3 pbc="T T T"
H 1.864 0.000 0.000
H 0.000 1.864 0.000
H 0.000 0.000 1.864
Ru 1.864 1.864 1.864
Br 0.000 0.000 0.000
```

=====

Record 2
# CoOsBr

A relaxed CoOsBr crystal (GGA-PBE, Alexandria via LeMat-Bulk).

Computed properties:
energy above the most stable polymorph in this dataset	0.021	eV per atom
magnetization	0.69	μB per cell
E_form (uncorrected)	331	meV/atom
space-group type	C2/m

Structure (extended XYZ):
```
12
Lattice="-1.032 3.581 -0.094 -3.126 -0.856 1.711 8.356 0.374 15.457" Properties=species:S:1:pos:R:3 pbc="T T T"
Os 1.458 2.330 7.756
Os 2.740 0.769 9.317
Os 0.125 1.010 0.733
Os 7.199 2.945 14.630
Br 2.000 3.042 5.177
Br -0.417 0.298 3.312
Br 5.324 0.913 10.186
Br 4.615 2.801 13.761
Co 6.193 0.746 15.616
Co -1.995 2.353 1.457
Co 3.746 2.967 8.330
Co 3.578 0.987 7.032
```

=====

Record 3
# Cr4GaMo

A relaxed Cr4GaMo crystal (GGA-PBE, Alexandria via LeMat-Bulk).

Computed properties:
magnetization	0.00	μB per cell
calculated formation energy	16	meV per atom
space-group type	F-43m

Structure (extended XYZ):
```
6
Lattice="4.782 0.000 0.000 2.391 4.142 0.000 2.391 1.381 3.905" Properties=species:S:1:pos:R:3 pbc="T T T"
Cr 3.583 3.453 2.442
Cr 5.981 3.453 2.442
Cr 4.782 1.376 2.442
Cr 4.782 2.761 0.484
Ga 0.000 0.000 0.000
Mo 2.391 1.381 0.976
```

=====

no.,VASP energy (eV/atom),Fermi-level density of states (states/eV/f.u.)
1,-2.537,3.53
2,-6.339,2.54
3,-8.709,2.61